Material: DyNi2TeO6
Method: DFT, PBE with a Hubbard U
State: relaxed

Summary:
**Symmetry**: R3 (146)
**DOS at the Fermi energy**: 0.182 states/eV/atom
**Calculated total energy**: -5.8943 eV/atom
**Magnetic moment**: 5.0 μB/f.u.
**Volume**: 121.3 Å³ per cell

Cell: 5.704 5.704 5.704 Å, 56.71 56.71 56.71°
Atoms (fractional coordinates):
1 Dy 0.000 0.000 0.000
2 Ni 0.210 0.210 0.210
3 Ni 0.718 0.718 0.718
4 Te 0.512 0.512 0.512
5 O 0.104 0.428 0.817
6 O 0.340 0.905 0.578
7 O 0.428 0.817 0.104
8 O 0.578 0.340 0.905
9 O 0.817 0.104 0.428
10 O 0.905 0.578 0.340